No. 1
This record from Alexandria describes crystalline Ni3GeSe at its relaxed geometry. The functional is PBE.

Cell lengths 4.371, 4.371, 4.371 Å; angles 90.00, 90.00, 90.00 degrees
Fractional coordinates of all 5 atoms:
Ni: 0.000 0.000 0.500
Ni: 0.000 0.500 0.000
Ni: 0.500 0.000 0.000
Ge: 0.500 0.500 0.500
Se: 0.000 0.000 0.000

SG = Pm-3m (221)
distance to the lowest polymorph of the same formula = 0.000 eV/atom
formation energy from raw total energies = 0.37 eV/atom



No. 2
This record from Alexandria describes crystalline LaPmNd2 at its relaxed geometry. The functional is PBE.

Cell lengths 3.582, 3.582, 38.540 Å; angles 90.00, 90.00, 120.00 degrees
Fractional coordinates of all 12 atoms:
La: 0.000 0.000 0.000
La: 0.333 0.667 0.667
La: 0.667 0.333 0.333
Pm: 0.000 0.000 0.500
Pm: 0.333 0.667 0.167
Pm: 0.667 0.333 0.833
Nd: 0.000 0.000 0.090
Nd: 0.000 0.000 0.910
Nd: 0.333 0.667 0.577
Nd: 0.333 0.667 0.756
Nd: 0.667 0.333 0.244
Nd: 0.667 0.333 0.423

formation enthalpy at 0 K = 0.129 eV/atom
SG = R-3m (166)
distance to the lowest polymorph of the same formula = 0.115 eV/atom



No. 3
This record from Alexandria describes crystalline TiTl3Cl at its relaxed geometry. The functional is PBE.

Cell lengths 5.588, 5.588, 5.588 Å; angles 90.00, 90.00, 90.00 degrees
Fractional coordinates of all 5 atoms:
Ti: 0.000 0.000 0.000
Tl: 0.000 0.000 0.500
Tl: 0.000 0.500 0.000
Tl: 0.500 0.000 0.000
Cl: 0.500 0.500 0.500

SG = Pm-3m (221)
distance to the lowest polymorph of the same formula = 0.000 eV/atom
formation energy from raw total energies = 0.20 eV/atom



No. 4
This record from Alexandria describes crystalline Cs3K2TcO6 at its relaxed geometry. The functional is PBE.

Cell lengths 6.616, 6.616, 6.745 Å; angles 98.96, 98.96, 120.16 degrees
Fractional coordinates of all 12 atoms:
Cs: 0.000 0.000 0.000
Cs: 0.332 0.668 0.000
Cs: 0.668 0.332 0.000
K: 0.166 0.834 0.500
K: 0.834 0.166 0.500
Tc: 0.500 0.500 0.500
O: 0.203 0.442 0.329
O: 0.320 0.320 0.680
O: 0.442 0.203 0.329
O: 0.558 0.797 0.671
O: 0.680 0.680 0.320
O: 0.797 0.558 0.671

SG = C2/m (12)
formation energy from raw total energies = -1.43 eV/atom



No. 5
This record from Alexandria describes crystalline Er5In4Pt2 at its relaxed geometry. The functional is PBE.

Cell lengths 8.055, 18.133, 3.619 Å; angles 90.00, 90.00, 90.00 degrees
Fractional coordinates of all 22 atoms:
Er: 0.000 0.000 0.000
Er: 0.115 0.415 0.000
Er: 0.244 0.220 0.000
Er: 0.256 0.720 0.000
Er: 0.385 0.915 0.000
Er: 0.500 0.500 0.000
Er: 0.615 0.085 0.000
Er: 0.744 0.280 0.000
Er: 0.756 0.780 0.000
Er: 0.885 0.585 0.000
In: 0.076 0.852 0.500
In: 0.210 0.567 0.500
In: 0.290 0.067 0.500
In: 0.424 0.352 0.500
In: 0.576 0.648 0.500
In: 0.710 0.933 0.500
In: 0.790 0.433 0.500
In: 0.924 0.148 0.500
Pt: 0.027 0.304 0.500
Pt: 0.473 0.804 0.500
Pt: 0.527 0.196 0.500
Pt: 0.973 0.696 0.500

formation enthalpy at 0 K = -0.827 eV/atom
SG = Pbam (55)



No. 6
This record from Alexandria describes crystalline NdNi4Pt8 at its relaxed geometry. The functional is PBE.

Cell lengths 9.289, 9.289, 9.289 Å; angles 34.26, 34.26, 34.26 degrees
Fractional coordinates of all 13 atoms:
Nd: 0.000 0.000 0.000
Ni: 0.000 0.500 0.500
Ni: 0.500 0.000 0.500
Ni: 0.500 0.500 0.000
Ni: 0.500 0.500 0.500
Pt: 0.242 0.741 0.741
Pt: 0.254 0.254 0.254
Pt: 0.259 0.259 0.758
Pt: 0.259 0.758 0.259
Pt: 0.741 0.242 0.741
Pt: 0.741 0.741 0.242
Pt: 0.746 0.746 0.746
Pt: 0.758 0.259 0.259

formation enthalpy at 0 K = 0.065 eV/atom
SG = R-3m (166)



No. 7
This record from Alexandria describes crystalline TcIr3F at its relaxed geometry. The functional is PBE.

Cell lengths 4.702, 4.702, 4.702 Å; angles 90.00, 90.00, 90.00 degrees
Fractional coordinates of all 5 atoms:
Tc: 0.000 0.000 0.000
Ir: 0.000 0.000 0.500
Ir: 0.000 0.500 0.000
Ir: 0.500 0.000 0.000
F: 0.500 0.500 0.500

SG = Pm-3m (221)
distance to the lowest polymorph of the same formula = 0.380 eV/atom
formation energy from raw total energies = 1.75 eV/atom



No. 8
This record from Alexandria describes crystalline HfZnCu3 at its relaxed geometry. The functional is PBE.

Cell lengths 5.405, 4.175, 6.776 Å; angles 90.00, 109.55, 90.00 degrees
Fractional coordinates of all 10 atoms:
Hf: 0.186 0.250 0.192
Hf: 0.814 0.750 0.808
Zn: 0.189 0.750 0.571
Zn: 0.811 0.250 0.429
Cu: 0.150 0.250 0.787
Cu: 0.360 0.750 0.982
Cu: 0.489 0.250 0.616
Cu: 0.511 0.750 0.384
Cu: 0.640 0.250 0.018
Cu: 0.850 0.750 0.213

formation enthalpy at 0 K = -0.133 eV/atom
SG = P2_1/m (11)
distance to the lowest polymorph of the same formula = 0.000 eV/atom



No. 9
This record from Alexandria describes crystalline LiLa2TlRu at its relaxed geometry. The functional is PBE.

Cell lengths 5.418, 5.418, 5.432 Å; angles 90.00, 90.00, 90.00 degrees
Fractional coordinates of all 5 atoms:
Li: 0.000 0.000 0.000
La: 0.000 0.500 0.500
La: 0.500 0.000 0.500
Tl: 0.500 0.500 0.000
Ru: 0.500 0.500 0.500

formation enthalpy at 0 K = -0.146 eV/atom
SG = P4/mmm (123)
distance to the lowest polymorph of the same formula = 0.012 eV/atom



No. 10
This record from Alexandria describes crystalline Sn2HPd9 at its relaxed geometry. The functional is PBE.

Cell lengths 4.056, 4.056, 11.319 Å; angles 90.00, 90.00, 90.00 degrees
Fractional coordinates of all 12 atoms:
Sn: 0.000 0.000 0.182
Sn: 0.000 0.000 0.818
H: 0.000 0.000 0.500
Pd: 0.000 0.500 0.000
Pd: 0.000 0.500 0.352
Pd: 0.000 0.500 0.648
Pd: 0.500 0.000 0.000
Pd: 0.500 0.000 0.352
Pd: 0.500 0.000 0.648
Pd: 0.500 0.500 0.175
Pd: 0.500 0.500 0.500
Pd: 0.500 0.500 0.825

SG = P4/mmm (123)
raw total energy = -59.9 eV for the cell shown



No. 11
This record from Alexandria describes crystalline Na2HfTiSn at its relaxed geometry. The functional is PBE.

Cell lengths 5.655, 5.655, 4.804 Å; angles 90.00, 90.00, 90.00 degrees
Fractional coordinates of all 5 atoms:
Na: 0.000 0.500 0.000
Na: 0.500 0.000 0.000
Hf: 0.000 0.000 0.000
Ti: 0.000 0.000 0.500
Sn: 0.500 0.500 0.500

formation enthalpy at 0 K = 1.238 eV/atom
SG = P4/mmm (123)



No. 12
This record from Alexandria describes crystalline SmYZnFe at its relaxed geometry. The functional is PBE.

Cell lengths 7.038, 7.038, 7.038 Å; angles 90.00, 90.00, 90.00 degrees
Fractional coordinates of all 16 atoms:
Sm: 0.000 0.000 0.000
Sm: 0.000 0.500 0.500
Sm: 0.500 0.000 0.500
Sm: 0.500 0.500 0.000
Y: 0.000 0.000 0.500
Y: 0.000 0.500 0.000
Y: 0.500 0.000 0.000
Y: 0.500 0.500 0.500
Zn: 0.250 0.250 0.250
Zn: 0.250 0.750 0.750
Zn: 0.750 0.250 0.750
Zn: 0.750 0.750 0.250
Fe: 0.250 0.250 0.750
Fe: 0.250 0.750 0.250
Fe: 0.750 0.250 0.250
Fe: 0.750 0.750 0.750

formation enthalpy at 0 K = -0.040 eV/atom
SG = F-43m (216)



no.,Fermi-level density of states (states/eV per atom)
1,0.050
2,1.677
3,0.647
4,0.000
5,0.481
6,1.721
7,1.829
8,0.378
9,0.795
10,0.945
11,1.139
12,1.247